Ac2FeIrO6: relaxed, PBE with a Hubbard U.

As for the crystal system: trigonal. As for the total energy: -7.410 eV per atom.

It has space group R-3m (No. 166, hexagonal axes), with a = 5.7048 Å, b = 5.7048 Å, c = 28.3256 Å, α = 90.00°, β = 90.00° and γ = 120.00°. The inequivalent atoms are Ac at (0.0000, 0.0000, 0.1296), Ac at (0.0000, 0.0000, 0.2826), Fe at (0.0000, 0.0000, 0.4098), Ir at (0.0000, 0.0000, 0.0000), Ir at (0.0000, 0.0000, 0.5000), O at (0.0090, 0.5045, 0.7108) and O at (0.0097, 0.5049, 0.8752).